A relaxed structure of Mg2PaCoO6, computed with PBE with a Hubbard U.

extended XYZ file:
```
10
Lattice="2.642 1.526 4.722 -2.642 1.526 4.722 0.000 -3.051 4.722" Properties=species:S:1:pos:R:3 pbc="T T T"
Mg 0.000 0.000 0.000
Mg 0.000 0.000 6.984
Pa 0.000 0.000 2.939
Co 0.000 0.000 9.886
O -0.928 -1.676 6.206
O -1.505 -0.021 8.658
O -0.988 1.641 6.206
O 0.771 -1.293 8.658
O 1.915 0.035 6.206
O 0.735 1.314 8.658
```

Output
**Raw total energy**: -72.2 eV per cell
**Magnetization**: 0.0 μB per cell